No. 1
# Tb3Co4Ge13

Tb3Co4Ge13 at its PBEsol-relaxed geometry (meta-GGA SCAN, Alexandria).

It has space group Pm-3n (No. 223), with a = 8.663 Å, b = 8.663 Å, c = 8.663 Å, α = 90.00°, β = 90.00° and γ = 90.00°. Symmetry generates all atoms from Tb at (0.000, 0.250, 0.500), Co at (0.250, 0.250, 0.250), Ge at (0.000, 0.000, 0.000) and Ge at (0.000, 0.303, 0.153).

The value obtained for the uncorrected energy is -466.07 eV/f.u. The formation energy is -421 meV per atom. The value obtained for the density of states at the Fermi level is 11.73 states/eV/cell.

=====

No. 2
# BeCdHg2

BeCdHg2 at its PBEsol-relaxed geometry (meta-GGA SCAN, Alexandria).

It has space group Fm-3m (No. 225), with a = 6.677 Å, b = 6.677 Å, c = 6.677 Å, α = 90.00°, β = 90.00° and γ = 90.00°. Symmetry generates all atoms from Be at (0.000, 0.000, 0.000), Cd at (0.000, 0.000, 0.500) and Hg at (0.250, 0.250, 0.250).

The value obtained for the uncorrected energy is -169.56 eV/f.u. The formation energy is 386 meV per atom. The distance to the lowest polymorph of the same formula is 5.98 kcal/mol of atoms. The value obtained for the density of states at the Fermi level is 4.64 states/eV/cell.

=====

No. 3
# Ba2LiAg

Ba2LiAg at its PBEsol-relaxed geometry (meta-GGA SCAN, Alexandria).

It has space group Amm2 (No. 38), with a = 4.814 Å, b = 4.811 Å, c = 12.713 Å, α = 90.00°, β = 90.00° and γ = 90.00°. Symmetry generates all atoms from Ba at (0.000, 0.000, 0.000), Ba at (0.500, 0.000, 0.285), Li at (0.000, 0.000, 0.694) and Ag at (0.500, 0.000, 0.583).

The value obtained for the uncorrected energy is -113.39 eV/f.u. The formation energy is -132 meV per atom. The distance to the lowest polymorph of the same formula is 0.00 kcal/mol of atoms. The value obtained for the density of states at the Fermi level is 6.57 states/eV/cell.